1.
DFT (PBE) results for a geometry-optimized Mg5ZnGa4 structure.

The value obtained for the total energy is -0.0831 Ha/atom. For the formation energy, the calculation gives -127 meV/atom. For the spin magnetization, the calculation gives 0.00 μB per formula unit.

The structure belongs to space group P4/mmm (No. 123); the cell edges are 3.291, 3.291 and 17.662 Å and the angles 90.00°, 90.00° and 90.00°. The inequivalent atoms are Mg at (0.000, 0.000, 0.000), Mg at (0.000, 0.000, 0.205), Mg at (0.000, 0.000, 0.405), Zn at (0.500, 0.500, 0.500), Ga at (0.500, 0.500, 0.102) and Ga at (0.500, 0.500, 0.305).


2.
DFT (PBE) results for a geometry-optimized TlRhNO2 structure.

The uncorrected formation energy comes out at 133 meV per atom. The value obtained for the total energy is -0.2006 Ha/atom. For the spin magnetization, the calculation gives 0.00 μB per formula unit.

The structure belongs to space group P4/mmm (No. 123); the cell edges are 4.167, 4.167 and 3.727 Å and the angles 90.00°, 90.00° and 90.00°. The inequivalent atoms are Tl at (0.000, 0.000, 0.000), Rh at (0.500, 0.500, 0.500), N at (0.500, 0.500, 0.000) and O at (0.000, 0.500, 0.500).


3.
DFT (PBE) results for a geometry-optimized Tb2NdCuS5 structure.

The uncorrected formation energy comes out at -1686 meV per atom. The value obtained for the total energy is -0.2202 Ha/atom. For the spin magnetization, the calculation gives 0.00 μB per formula unit.

The structure belongs to space group Cmc2_1 (No. 36); the cell edges are 3.840, 18.195 and 11.133 Å and the angles 90.00°, 90.00° and 90.00°. The inequivalent atoms are Tb at (0.000, 0.091, 0.000), Tb at (0.000, 0.110, 0.626), Nd at (0.000, 0.197, 0.326), Cu at (0.000, 0.437, 0.769), S at (0.000, 0.047, 0.379), S at (0.000, 0.302, 0.011), S at (0.000, 0.331, 0.648), S at (0.000, 0.360, 0.322) and S at (0.000, 0.496, 0.097).


4.
DFT (PBE) results for a geometry-optimized CdB2S structure.

The uncorrected formation energy comes out at 770 meV per atom. The value obtained for the total energy is -0.1407 Ha/atom. As for the distance to the lowest polymorph of the same formula: 0.000 eV/atom. For the spin magnetization, the calculation gives 0.00 μB per formula unit.

The structure belongs to space group I-42d (No. 122); the cell edges are 5.130, 5.130 and 8.589 Å and the angles 90.00°, 90.00° and 90.00°. The inequivalent atoms are Cd at (0.000, 0.000, 0.000), B at (0.185, 0.250, 0.625) and S at (0.000, 0.000, 0.500).


5.
DFT (PBE) results for a geometry-optimized LaSmPdPb structure.

The value obtained for the total energy is -0.1923 Ha/atom. For the formation energy, the calculation gives -596 meV/atom. For the spin magnetization, the calculation gives 0.00 μB per formula unit.

The structure belongs to space group F-43m (No. 216); the cell edges are 7.632, 7.632 and 7.632 Å and the angles 90.00°, 90.00° and 90.00°. The inequivalent atoms are La at (0.000, 0.000, 0.000), Sm at (0.000, 0.000, 0.500), Pd at (0.250, 0.250, 0.250) and Pb at (0.250, 0.250, 0.750).


6.
DFT (PBE) results for a geometry-optimized RbBiIr structure.

The value obtained for the total energy is -0.1639 Ha/atom. For the formation energy, the calculation gives 110 meV/atom. As for the distance to the lowest polymorph of the same formula: 0.108 eV/atom. For the spin magnetization, the calculation gives 0.00 μB per formula unit.

The structure belongs to space group P1 (No. 1); the cell edges are 4.234, 6.516 and 8.187 Å and the angles 92.48°, 104.81° and 100.05°. The inequivalent atoms are Rb at (0.000, 0.000, 0.000), Rb at (0.493, 0.892, 0.492), Bi at (0.053, 0.486, 0.731), Bi at (0.809, 0.391, 0.300), Ir at (0.255, 0.532, 0.115) and Ir at (0.657, 0.472, 0.949).


7.
DFT (PBE) results for a geometry-optimized K2BaTi structure.

The value obtained for the total energy is -0.0797 Ha/atom. For the formation energy, the calculation gives 835 meV/atom. As for the distance to the lowest polymorph of the same formula: 0.000 eV/atom. For the spin magnetization, the calculation gives 3.76 μB per formula unit.

The structure belongs to space group I-42d (No. 122); the cell edges are 5.268, 5.268 and 29.591 Å and the angles 90.00°, 90.00° and 90.00°. The inequivalent atoms are K at (0.229, 0.250, 0.125), Ba at (0.000, 0.000, 0.500) and Ti at (0.000, 0.000, 0.000).


8.
DFT (PBE) results for a geometry-optimized FeReTe2 structure.

The uncorrected formation energy comes out at 1072 meV per atom. The value obtained for the total energy is -0.2105 Ha/atom. As for the distance to the lowest polymorph of the same formula: 0.922 eV/atom. For the spin magnetization, the calculation gives 2.97 μB per formula unit.

The structure belongs to space group Pmmm (No. 47); the cell edges are 3.515, 4.178 and 5.312 Å and the angles 90.00°, 90.00° and 90.00°. The inequivalent atoms are Fe at (0.000, 0.000, 0.000), Re at (0.500, 0.000, 0.500), Te at (0.000, 0.500, 0.500) and Te at (0.500, 0.500, 0.000).


9.
DFT (PBE) results for a geometry-optimized Li2ZrTa structure.

The value obtained for the total energy is -0.2044 Ha/atom. For the formation energy, the calculation gives 494 meV/atom. As for the distance to the lowest polymorph of the same formula: 0.285 eV/atom. For the spin magnetization, the calculation gives 0.00 μB per formula unit.

The structure belongs to space group Cmmm (No. 65); the cell edges are 5.588, 9.330 and 2.792 Å and the angles 90.00°, 90.00° and 90.00°. The inequivalent atoms are Li at (0.250, 0.250, 0.000), Zr at (0.000, 0.000, 0.500) and Ta at (0.000, 0.500, 0.500).


10.
DFT (PBE) results for a geometry-optimized HgIrPt3 structure.

The value obtained for the total energy is -0.1572 Ha/atom. For the formation energy, the calculation gives 1178 meV/atom. As for the distance to the lowest polymorph of the same formula: 0.000 eV/atom. For the spin magnetization, the calculation gives 0.00 μB per formula unit.

The structure belongs to space group Pm-3m (No. 221); the cell edges are 4.871, 4.871 and 4.871 Å and the angles 90.00°, 90.00° and 90.00°. The inequivalent atoms are Hg at (0.000, 0.000, 0.000), Ir at (0.500, 0.500, 0.500) and Pt at (0.000, 0.500, 0.500).


11.
DFT (PBE) results for a geometry-optimized Ce4YPu3Se8 structure.

The uncorrected formation energy comes out at -1709 meV per atom. The value obtained for the total energy is -0.2950 Ha/atom. For the spin magnetization, the calculation gives 21.41 μB per formula unit.

The structure belongs to space group R-3m (No. 166, hexagonal axes); the cell edges are 8.3220, 8.3220 and 20.5203 Å and the angles 90.00°, 90.00° and 120.00°. The inequivalent atoms are Ce at (0.0000, 0.0000, 0.0000), Ce at (0.0000, 0.5000, 0.0000), Y at (0.0000, 0.0000, 0.5000), Pu at (0.0000, 0.5000, 0.5000), Se at (0.0000, 0.0000, 0.2476) and Se at (0.0018, 0.5009, 0.2474).


12.
DFT (PBE) results for a geometry-optimized CsNpScS4 structure.

The uncorrected formation energy comes out at -1423 meV per atom. The value obtained for the total energy is -0.2446 Ha/atom. For the spin magnetization, the calculation gives 3.00 μB per formula unit.

The structure belongs to space group P2_1/m (No. 11); the cell edges are 7.051, 6.941 and 8.975 Å and the angles 90.00°, 100.43° and 90.00°. The inequivalent atoms are Cs at (0.170, 0.250, 0.076), Np at (0.155, 0.750, 0.459), Sc at (0.380, 0.250, 0.658), S at (0.126, 0.006, 0.683), S at (0.296, 0.750, 0.198) and S at (0.472, 0.250, 0.415).